P | The following is a PBE with a Hubbard U calculation of an optimized crystal structure of VP2O2, from Alexandria via LeMat-Bulk.

```
VP2O2
1.0
-0.214 3.498 2.950
0.406 -2.927 3.500
3.582 0.334 -0.136
P O V
2 2 1
Direct
0.000 0.500 0.000 P
0.500 0.000 0.000 P
0.500 0.500 0.500 O
0.000 0.000 0.500 O
0.000 0.000 0.000 V
```

Output
Total magnetization = 0.000 μB per cell
Space group = P4/mmm, No. 123



Q | The following is a PBE with a Hubbard U calculation of an optimized crystal structure of VP2O2, from Alexandria via LeMat-Bulk.

```
VP2O2
1.0
3.626 0.000 0.000
0.000 3.626 0.000
0.000 0.000 5.392
P O V
2 2 1
Direct
0.500 0.500 0.500 P
0.000 0.000 0.500 P
0.000 0.500 0.000 O
0.500 0.000 0.000 O
0.000 0.000 0.000 V
```

Output
Total magnetization = 1.401 μB per cell
Space group = P4/mmm, No. 123



Ranking the structures above by stability puts Q first and P last.